Below is crystalline DyErSc6 at its relaxed geometry, with properties calculated at the PBE level.

Results
* crystal system: hexagonal
* magnetic moment: 2.09 μB per formula unit
* energy above the lowest structure with this stoichiometry: 0.0 kJ/mol of atoms
* energy relative to the elements: 0.02 eV/atom
* Fermi-level density of states: 1.92 states/eV per atom
* E_tot: -5.879 eV per atom
* space-group type: P-6m2 (187)

a b c (Å): 6.766 6.766 5.286
angles (deg): 90.00 90.00 120.00
Fractional positions:
Dy (0.000, 0.000, 0.000)
Er (0.333, 0.667, 0.500)
Sc (0.340, 0.170, 0.500)
Sc (0.503, 0.006, 0.000)
Sc (0.503, 0.497, 0.000)
Sc (0.830, 0.170, 0.500)
Sc (0.830, 0.660, 0.500)
Sc (0.994, 0.497, 0.000)

Below is crystalline VTe2PI at its relaxed geometry, with properties calculated at the PBE level.

Results
* crystal system: tetragonal
* magnetic moment: 3.54 μB per formula unit
* raw formation energy: 312.1 kJ/mol of formula units
* energy above the lowest structure with this stoichiometry: 0.0 kJ/mol of atoms
* Fermi-level density of states: 0.76 states/eV per atom
* E_tot: -3.825 eV per atom
* space-group type: P4/mmm (123)

a b c (Å): 5.217 5.217 5.606
angles (deg): 90.00 90.00 90.00
Fractional positions:
V (0.000, 0.000, 0.000)
Te (0.000, 0.500, 0.000)
Te (0.500, 0.000, 0.000)
P (0.500, 0.500, 0.500)
I (0.000, 0.000, 0.500)

Below is crystalline RbUZnF6 at its relaxed geometry, with properties calculated at the PBE level.

Results
* crystal system: trigonal
* magnetic moment: 2.90 μB per formula unit
* raw formation energy: -2494.4 kJ/mol of formula units
* Fermi-level density of states: 0.72 states/eV per atom
* E_tot: -5.623 eV per atom
* space-group type: P-31c (163)

a b c (Å): 6.046 6.046 11.366
angles (deg): 90.00 90.00 120.00
Fractional positions:
Rb (0.000, 0.000, 0.000)
Rb (0.000, 0.000, 0.500)
U (0.333, 0.667, 0.250)
U (0.667, 0.333, 0.750)
Zn (0.333, 0.667, 0.750)
Zn (0.667, 0.333, 0.250)
F (0.026, 0.400, 0.648)
F (0.026, 0.626, 0.852)
F (0.374, 0.400, 0.852)
F (0.374, 0.974, 0.648)
F (0.400, 0.026, 0.148)
F (0.400, 0.374, 0.352)
F (0.600, 0.626, 0.648)
F (0.600, 0.974, 0.852)
F (0.626, 0.026, 0.352)
F (0.626, 0.600, 0.148)
F (0.974, 0.374, 0.148)
F (0.974, 0.600, 0.352)

Below is crystalline Tm5Hg2Pd12 at its relaxed geometry, with properties calculated at the PBE level.

Results
* crystal system: monoclinic
* magnetic moment: 0.00 μB per formula unit
* energy relative to the elements: -0.54 eV/atom
* Fermi-level density of states: 0.46 states/eV per atom
* E_tot: -5.025 eV per atom
* space-group type: C2/m (12)

a b c (Å): 8.677 8.677 9.517
angles (deg): 113.32 113.32 37.59
Fractional positions:
Tm (0.000, 0.000, 0.000)
Tm (0.314, 0.314, 0.122)
Tm (0.345, 0.345, 0.628)
Tm (0.655, 0.655, 0.372)
Tm (0.686, 0.686, 0.878)
Hg (0.249, 0.751, 0.500)
Hg (0.751, 0.249, 0.500)
Pd (0.051, 0.572, 0.371)
Pd (0.095, 0.592, 0.891)
Pd (0.115, 0.115, 0.821)
Pd (0.408, 0.905, 0.109)
Pd (0.428, 0.949, 0.629)
Pd (0.489, 0.489, 0.134)
Pd (0.511, 0.511, 0.866)
Pd (0.572, 0.051, 0.371)
Pd (0.592, 0.095, 0.891)
Pd (0.885, 0.885, 0.179)
Pd (0.905, 0.408, 0.109)
Pd (0.949, 0.428, 0.629)